14
Lattice="9.466 0.000 0.000 0.000 9.466 0.000 0.000 0.000 5.212" Properties=species:S:1:pos:R:3 comment="PBE-GGA KHg2Pb4, optimized geometry" delta_e_f_ev_per_atom=-0.073 n_ef_per_ev_atom=0.527 crystal_system=tetragonal pbc="T T T"
K 0.000 0.000 0.000
K 4.733 4.733 2.606
Hg 1.864 1.864 2.606
Hg 2.869 6.597 0.000
Hg 6.597 2.869 0.000
Hg 7.602 7.602 2.606
Pb 0.918 6.135 2.606
Pb 1.401 3.815 0.000
Pb 3.332 8.548 2.606
Pb 3.815 1.401 0.000
Pb 5.651 8.065 0.000
Pb 6.135 0.918 2.606
Pb 8.065 5.651 0.000
Pb 8.548 3.332 2.606